Entry 1:
Ti3ZnN: optimized geometry, PBE.

a b c (Å): 6.8547 6.8547 6.8547
angles (deg): 142.30 67.01 126.82
Fractional coordinates of all 10 atoms:
1 Ti 0.1588 0.4088 0.7500
2 Ti 0.2357 0.1167 0.1190
3 Ti 0.4977 0.1167 0.3810
4 Ti 0.5023 0.8833 0.6190
5 Ti 0.7643 0.8833 0.8810
6 Ti 0.8412 0.5912 0.2500
7 Zn 0.0000 0.5000 0.5000
8 Zn 0.5000 0.5000 0.0000
9 N 0.1599 0.9099 0.2500
10 N 0.8401 0.0901 0.7500

Results
E_tot = -7.18 eV/atom
Excess energy over the best structure of this formula in the dataset = 0.373 eV/atom
Formation energy (no corrections) = -0.526 eV/atom

=====

Entry 2:
TaCu2W: optimized geometry, PBE.

a b c (Å): 3.8996 3.8996 3.8345
angles (deg): 90.00 90.00 90.00
Fractional coordinates of all 4 atoms:
1 Ta 0.0000 0.0000 0.0000
2 Cu 0.0000 0.5000 0.5000
3 Cu 0.5000 0.0000 0.5000
4 W 0.5000 0.5000 0.0000

Results
ΔE_f = 223 meV per atom
E_tot = -8.03 eV/atom
Excess energy over the best structure of this formula in the dataset = 0.083 eV/atom

=====

Entry 3:
YErCoPd: optimized geometry, PBE.

a b c (Å): 4.8346 4.8346 4.8346
angles (deg): 60.00 60.00 60.00
Fractional coordinates of all 4 atoms:
1 Y 0.0000 0.0000 0.0000
2 Er 0.5000 0.5000 0.5000
3 Co 0.2500 0.2500 0.2500
4 Pd 0.7500 0.7500 0.7500

Results
ΔE_f = -501 meV per atom
E_tot = -6.33 eV/atom

=====

Entry 4:
YEr3Sb3: optimized geometry, PBE.

a b c (Å): 9.1422 9.1422 9.1422
angles (deg): 90.00 90.00 90.00
Fractional coordinates of all 28 atoms:
1 Y 0.0718 0.4282 0.5718
2 Y 0.4282 0.5718 0.0718
3 Y 0.5718 0.0718 0.4282
4 Y 0.9282 0.9282 0.9282
5 Er 0.0737 0.5737 0.9263
6 Er 0.1774 0.8226 0.3226
7 Er 0.1781 0.1781 0.1781
8 Er 0.3219 0.8219 0.6781
9 Er 0.3226 0.1774 0.8226
10 Er 0.4263 0.4263 0.4263
11 Er 0.5737 0.9263 0.0737
12 Er 0.6774 0.6774 0.6774
13 Er 0.6781 0.3219 0.8219
14 Er 0.8219 0.6781 0.3219
15 Er 0.8226 0.3226 0.1774
16 Er 0.9263 0.0737 0.5737
17 Sb 0.0006 0.2519 0.8758
18 Sb 0.1242 0.5006 0.2481
19 Sb 0.2481 0.1242 0.5006
20 Sb 0.2519 0.8758 0.0006
21 Sb 0.3758 0.4994 0.7481
22 Sb 0.4994 0.7481 0.3758
23 Sb 0.5006 0.2481 0.1242
24 Sb 0.6242 0.9994 0.7519
25 Sb 0.7481 0.3758 0.4994
26 Sb 0.7519 0.6242 0.9994
27 Sb 0.8758 0.0006 0.2519
28 Sb 0.9994 0.7519 0.6242

Results
E_tot = -5.61 eV/atom
Excess energy over the best structure of this formula in the dataset = 0.000 eV/atom
Formation energy (no corrections) = -0.968 eV/atom

=====

Entry 5:
LaEuNiIr: optimized geometry, PBE.

a b c (Å): 5.0026 5.0026 5.0026
angles (deg): 60.00 60.00 60.00
Fractional coordinates of all 4 atoms:
1 La 0.0000 0.0000 0.0000
2 Eu 0.5000 0.5000 0.5000
3 Ni 0.2500 0.2500 0.2500
4 Ir 0.7500 0.7500 0.7500

Results
ΔE_f = -330 meV per atom
E_tot = -7.79 eV/atom

=====

Entry 6:
HgBiSe: optimized geometry, PBE.

a b c (Å): 6.8086 6.8086 6.8086
angles (deg): 147.39 147.39 46.78
Fractional coordinates of all 3 atoms:
1 Hg 0.0000 0.0000 0.0000
2 Bi 0.6978 0.6978 0.0000
3 Se 0.2929 0.2929 0.0000

Results
E_tot = -2.58 eV/atom
Excess energy over the best structure of this formula in the dataset = 0.026 eV/atom
Formation energy (no corrections) = -0.022 eV/atom

=====

Entry 7:
SrSc3Tl: optimized geometry, PBE.

a b c (Å): 5.3106 5.3106 5.3106
angles (deg): 90.00 90.00 90.00
Fractional coordinates of all 5 atoms:
1 Sr 0.0000 0.0000 0.0000
2 Sc 0.0000 0.0000 0.5000
3 Sc 0.0000 0.5000 0.0000
4 Sc 0.5000 0.0000 0.0000
5 Tl 0.5000 0.5000 0.5000

Results
ΔE_f = 1213 meV per atom
E_tot = -3.40 eV/atom
Excess energy over the best structure of this formula in the dataset = 0.869 eV/atom

=====

Entry 8:
Sm5Y2Tl: optimized geometry, PBE.

a b c (Å): 8.7998 8.7998 8.7998
angles (deg): 157.17 99.69 84.84
Fractional coordinates of all 8 atoms:
1 Sm 0.0000 0.0000 0.0000
2 Sm 0.1012 0.3685 0.7328
3 Sm 0.3643 0.6315 0.7328
4 Sm 0.6357 0.3685 0.2672
5 Sm 0.8988 0.6315 0.2672
6 Y 0.2710 0.2710 0.0000
7 Y 0.7290 0.7290 0.0000
8 Tl 0.5000 0.0000 0.5000

Results
ΔE_f = -7 meV per atom
E_tot = -4.87 eV/atom

=====

Entry 9:
Li7SmMg5: optimized geometry, PBE.

a b c (Å): 7.6571 7.6571 7.6571
angles (deg): 134.69 97.39 99.67
Fractional coordinates of all 13 atoms:
1 Li 0.0000 0.0000 0.0000
2 Li 0.0086 0.6525 0.3561
3 Li 0.2963 0.6525 0.6439
4 Li 0.2989 0.2989 0.0000
5 Li 0.4349 0.1546 0.2803
6 Li 0.4536 0.9536 0.5000
7 Li 0.8743 0.1546 0.7197
8 Sm 0.6521 0.6521 0.0000
9 Mg 0.1608 0.1549 0.5053
10 Mg 0.1608 0.6554 0.0059
11 Mg 0.6496 0.1549 0.9941
12 Mg 0.6496 0.6554 0.4947
13 Mg 0.8497 0.3497 0.5000

Results
ΔE_f = 7 meV per atom
E_tot = -2.00 eV/atom

=====

Entry 10:
Sr3Ti2O6: optimized geometry, PBE.

a b c (Å): 10.4779 10.4779 10.4779
angles (deg): 158.28 158.28 30.90
Fractional coordinates of all 11 atoms:
1 Sr 0.0000 0.0000 0.0000
2 Sr 0.1821 0.1821 0.0000
3 Sr 0.8179 0.8179 0.0000
4 Ti 0.4023 0.4023 0.0000
5 Ti 0.5977 0.5977 0.0000
6 O 0.0891 0.5891 0.5000
7 O 0.3052 0.3052 0.0000
8 O 0.4109 0.9109 0.5000
9 O 0.5891 0.0891 0.5000
10 O 0.6948 0.6948 0.0000
11 O 0.9109 0.4109 0.5000

Results
E_tot = -7.48 eV/atom
Formation energy (no corrections) = -2.880 eV/atom

=====

Entry 11:
ScFe2Os: optimized geometry, PBE.

a b c (Å): 3.0359 3.0359 6.2182
angles (deg): 90.00 90.00 90.00
Fractional coordinates of all 4 atoms:
1 Sc 0.0000 0.0000 0.0000
2 Fe 0.0000 0.0000 0.4814
3 Fe 0.5000 0.5000 0.2742
4 Os 0.5000 0.5000 0.7034

Results
ΔE_f = 0 meV per atom
E_tot = -8.62 eV/atom
Excess energy over the best structure of this formula in the dataset = 0.007 eV/atom

=====

Entry 12:
Th3Tl3CdTe8: optimized geometry, PBE.

a b c (Å): 9.7502 9.7502 9.7502
angles (deg): 55.02 55.02 55.02
Fractional coordinates of all 15 atoms:
1 Th 0.0000 0.5000 0.5000
2 Th 0.5000 0.0000 0.5000
3 Th 0.5000 0.5000 0.0000
4 Tl 0.0000 0.0000 0.5000
5 Tl 0.0000 0.5000 0.0000
6 Tl 0.5000 0.0000 0.0000
7 Cd 0.0000 0.0000 0.0000
8 Te 0.2373 0.2373 0.7375
9 Te 0.2373 0.7375 0.2373
10 Te 0.2585 0.2585 0.2585
11 Te 0.2625 0.7627 0.7627
12 Te 0.7375 0.2373 0.2373
13 Te 0.7415 0.7415 0.7415
14 Te 0.7627 0.2625 0.7627
15 Te 0.7627 0.7627 0.2625

Results
E_tot = -4.48 eV/atom
Formation energy (no corrections) = -0.790 eV/atom

=====

Entry 13:
Si2TcP: optimized geometry, PBE.

a b c (Å): 3.1347 3.1335 5.8587
angles (deg): 90.00 102.74 90.00
Fractional coordinates of all 4 atoms:
1 Si 0.0847 0.0000 0.2337
2 Si 0.9153 0.0000 0.7663
3 Tc 0.5000 0.5000 0.0000
4 P 0.5000 0.5000 0.5000

Results
E_tot = -6.64 eV/atom
Formation energy (no corrections) = 0.015 eV/atom

=====

Entry 14:
HfAs2Rh: optimized geometry, PBE.

a b c (Å): 4.5750 4.5750 4.5750
angles (deg): 60.00 60.00 60.00
Fractional coordinates of all 4 atoms:
1 Hf 0.0000 0.0000 0.0000
2 As 0.2500 0.2500 0.2500
3 As 0.7500 0.7500 0.7500
4 Rh 0.5000 0.5000 0.5000

Results
ΔE_f = -434 meV per atom
E_tot = -7.09 eV/atom

=====

Entry 15:
MgSb2Te: optimized geometry, PBE.

a b c (Å): 4.3520 4.3520 6.0926
angles (deg): 90.00 90.00 90.00
Fractional coordinates of all 4 atoms:
1 Mg 0.0000 0.0000 0.0000
2 Sb 0.0000 0.0000 0.5014
3 Sb 0.5000 0.5000 0.4897
4 Te 0.5000 0.5000 0.0012

Results
E_tot = -3.52 eV/atom
Excess energy over the best structure of this formula in the dataset = 0.000 eV/atom
Formation energy (no corrections) = -0.271 eV/atom

=====

Entry 16:
Dy5Tm2In2: optimized geometry, PBE.

a b c (Å): 10.9261 10.9261 10.9261
angles (deg): 59.64 135.39 142.51
Fractional coordinates of all 18 atoms:
1 Dy 0.2249 0.1090 0.3340
2 Dy 0.2249 0.3910 0.6159
3 Dy 0.2586 0.6743 0.9071
4 Dy 0.2586 0.8515 0.0843
5 Dy 0.7094 0.5043 0.7051
6 Dy 0.7672 0.1743 0.9157
7 Dy 0.7672 0.3515 0.0929
8 Dy 0.7751 0.6090 0.3841
9 Dy 0.7751 0.8910 0.6660
10 Dy 0.7992 0.0043 0.2949
11 Tm 0.1973 0.0099 0.6875
12 Tm 0.2895 0.2895 0.0000
13 Tm 0.2895 0.7895 0.5000
14 Tm 0.3224 0.5099 0.3125
15 In 0.6298 0.2166 0.3278
16 In 0.6298 0.8020 0.9132
17 In 0.8888 0.3020 0.6722
18 In 0.8888 0.7166 0.0868

Results
ΔE_f = -20 meV per atom
E_tot = -4.18 eV/atom

=====

Entry 17:
FeReRu2: optimized geometry, PBE.

a b c (Å): 5.1411 5.1411 5.1411
angles (deg): 147.30 130.18 60.88
Fractional coordinates of all 4 atoms:
1 Fe 0.0000 0.0000 0.0000
2 Re 0.2275 0.7275 0.5000
3 Ru 0.4934 0.4934 0.0000
4 Ru 0.7706 0.2706 0.5000

Results
ΔE_f = 243 meV per atom
E_tot = -9.62 eV/atom

=====

Entry 18:
HfScZnOs: optimized geometry, PBE.

a b c (Å): 3.2727 3.2727 6.6416
angles (deg): 90.00 90.00 90.00
Fractional coordinates of all 4 atoms:
1 Hf 0.0000 0.0000 0.0000
2 Sc 0.0000 0.0000 0.5209
3 Zn 0.5000 0.5000 0.2631
4 Os 0.5000 0.5000 0.7718

Results
ΔE_f = -474 meV per atom
E_tot = -7.67 eV/atom
Excess energy over the best structure of this formula in the dataset = 0.000 eV/atom

=====

Entry 19:
CrCdSi: optimized geometry, PBE.

a b c (Å): 4.1973 4.1973 3.4003
angles (deg): 90.00 90.00 120.00
Fractional coordinates of all 3 atoms:
1 Cr 0.0000 0.0000 0.0000
2 Cd 0.3333 0.6667 0.5325
3 Si 0.6667 0.3333 0.1102

Results
E_tot = -4.90 eV/atom
Excess energy over the best structure of this formula in the dataset = 0.107 eV/atom
Formation energy (no corrections) = 0.420 eV/atom

=====

Entry 20:
Ca3PmHo3S8: optimized geometry, PBE.

a b c (Å): 7.9708 7.9708 7.9708
angles (deg): 59.29 59.29 59.29
Fractional coordinates of all 15 atoms:
1 Ca 0.0000 0.5000 0.5000
2 Ca 0.5000 0.0000 0.5000
3 Ca 0.5000 0.5000 0.0000
4 Pm 0.5000 0.5000 0.5000
5 Ho 0.0000 0.0000 0.5000
6 Ho 0.0000 0.5000 0.0000
7 Ho 0.5000 0.0000 0.0000
8 S 0.2410 0.7505 0.7505
9 S 0.2474 0.2474 0.2474
10 S 0.2495 0.2495 0.7590
11 S 0.2495 0.7590 0.2495
12 S 0.7505 0.2410 0.7505
13 S 0.7505 0.7505 0.2410
14 S 0.7526 0.7526 0.7526
15 S 0.7590 0.2495 0.2495

Results
E_tot = -5.90 eV/atom
Formation energy (no corrections) = -2.069 eV/atom